1.
Density functional theory data (PBE) for crystalline KBa2MgH at its relaxed geometry.

Its spin magnetization is 0.00 μB/f.u. The total energy comes out at -10.20 eV for the cell shown. The crystal system is tetragonal.

The space group is P4/mmm (No. 123) and the conventional cell measures 5.788, 5.788 and 5.673 Å, with angles of 90.00, 90.00 and 90.00 degrees. Symmetry generates all atoms from K at (0.000, 0.000, 0.000), Ba at (0.000, 0.500, 0.500), Mg at (0.500, 0.500, 0.000) and H at (0.000, 0.000, 0.500).



2.
Density functional theory data (PBE) for crystalline K2BaMnH8 at its relaxed geometry.

Its spin magnetization is 2.93 μB/f.u. The total energy comes out at -41.46 eV for the cell shown. The crystal system is trigonal.

The space group is P-3m1 (No. 164) and the conventional cell measures 5.3554, 5.3554 and 7.2512 Å, with angles of 90.00, 90.00 and 120.00 degrees. Symmetry generates all atoms from K at (0.3333, 0.6667, 0.3293), Ba at (0.0000, 0.0000, 0.0000), Mn at (0.0000, 0.0000, 0.5000), H at (0.1418, 0.2837, 0.6370) and H at (0.3333, 0.6667, 0.9719).